This record from Alexandria via LeMat-Bulk describes crystalline Nd2BeAlPt6 at its relaxed geometry. The functional is PBE.

```
data_Nd2BeAlPt6
_chemical_formula_sum 'Nd6 Be3 Al3 Pt18'
_space_group_name_H-M_alt 'R -3 m'
_space_group_IT_number 166
_space_group_name_Hall '-R 3 2"'
_cell_length_a 5.7912
_cell_length_b 5.7912
_cell_length_c 19.4011
_cell_angle_alpha 90.00
_cell_angle_beta 90.00
_cell_angle_gamma 120.00
loop_
_atom_site_label
_atom_site_type_symbol
_atom_site_fract_x
_atom_site_fract_y
_atom_site_fract_z
Nd1 Nd 0.0000 0.0000 0.2147
Be1 Be 0.0000 0.0000 0.0000
Al1 Al 0.0000 0.0000 0.5000
Pt1 Pt 0.0133 0.5066 0.2656
```

Computed properties:
- formation energy from the elements (eV per atom) = -0.92
- density of states at the Fermi level (states/eV per cell) = 7.24

This record from Alexandria via LeMat-Bulk describes crystalline ZrRe3Br at its relaxed geometry. The functional is PBE.

```
data_ZrRe3Br
_chemical_formula_sum 'Zr1 Re3 Br1'
_space_group_name_H-M_alt 'P m -3 m'
_space_group_IT_number 221
_space_group_name_Hall '-P 4 2 3'
_cell_length_a 4.565
_cell_length_b 4.565
_cell_length_c 4.565
_cell_angle_alpha 90.00
_cell_angle_beta 90.00
_cell_angle_gamma 90.00
loop_
_atom_site_label
_atom_site_type_symbol
_atom_site_fract_x
_atom_site_fract_y
_atom_site_fract_z
Zr1 Zr 0.000 0.000 0.000
Re1 Re 0.000 0.500 0.500
Br1 Br 0.500 0.500 0.500
```

Computed properties:
- distance to the lowest polymorph of the same formula (meV per atom) = 0
- ΔE_f (raw) (eV per atom) = 1.76
- density of states at the Fermi level (states/eV per cell) = 4.87

This record from Alexandria via LeMat-Bulk describes crystalline PrHo4Cd2 at its relaxed geometry. The functional is PBE.

```
data_PrHo4Cd2
_chemical_formula_sum 'Pr3 Ho12 Cd6'
_space_group_name_H-M_alt 'R -3 m'
_space_group_IT_number 166
_space_group_name_Hall '-R 3 2"'
_cell_length_a 5.0652
_cell_length_b 5.0652
_cell_length_c 31.2999
_cell_angle_alpha 90.00
_cell_angle_beta 90.00
_cell_angle_gamma 120.00
loop_
_atom_site_label
_atom_site_type_symbol
_atom_site_fract_x
_atom_site_fract_y
_atom_site_fract_z
Pr1 Pr 0.0000 0.0000 0.0000
Ho1 Ho 0.0000 0.0000 0.2018
Ho2 Ho 0.0000 0.0000 0.3958
Cd1 Cd 0.0000 0.0000 0.1014
```

Computed properties:
- formation energy from the elements (eV per atom) = 0.21
- density of states at the Fermi level (states/eV per cell) = 32.73

This record from Alexandria via LeMat-Bulk describes crystalline Ce2Pm5Pt5 at its relaxed geometry. The functional is PBE.

```
data_Ce2Pm5Pt5
_chemical_formula_sum 'Ce4 Pm10 Pt10'
_space_group_name_H-M_alt 'C 1 2/m 1'
_space_group_IT_number 12
_cell_length_a 13.720
_cell_length_b 4.058
_cell_length_c 12.380
_cell_angle_alpha 90.00
_cell_angle_beta 104.89
_cell_angle_gamma 90.00
loop_
_space_group_symop_operation_xyz
'x,y,z'
'-x,-y,-z'
'-x,y,-z'
'x,-y,z'
'x+1/2,y+1/2,z'
'-x+1/2,-y+1/2,-z'
'-x+1/2,y+1/2,-z'
'x+1/2,-y+1/2,z'
loop_
_atom_site_label
_atom_site_type_symbol
_atom_site_fract_x
_atom_site_fract_y
_atom_site_fract_z
Ce1 Ce 0.038 0.000 0.285
Pm1 Pm 0.000 0.500 0.000
Pm2 Pm 0.158 0.500 0.550
Pm3 Pm 0.247 0.500 0.859
Pt1 Pt 0.000 0.000 0.500
Pt2 Pt 0.117 0.000 0.921
Pt3 Pt 0.192 0.500 0.312
```

Computed properties:
- formation energy from the elements (eV per atom) = -0.92
- density of states at the Fermi level (states/eV per cell) = 37.85

This record from Alexandria via LeMat-Bulk describes crystalline ThMg4Zn2 at its relaxed geometry. The functional is PBE.

```
data_ThMg4Zn2
_chemical_formula_sum 'Th2 Mg8 Zn4'
_space_group_name_H-M_alt 'C m m m'
_space_group_IT_number 65
_space_group_name_Hall '-C 2 2'
_cell_length_a 4.432
_cell_length_b 16.441
_cell_length_c 4.245
_cell_angle_alpha 90.00
_cell_angle_beta 90.00
_cell_angle_gamma 90.00
loop_
_atom_site_label
_atom_site_type_symbol
_atom_site_fract_x
_atom_site_fract_y
_atom_site_fract_z
Th1 Th 0.000 0.000 0.000
Mg1 Mg 0.000 0.175 0.500
Mg2 Mg 0.000 0.321 0.000
Zn1 Zn 0.000 0.426 0.500
```

Computed properties:
- formation energy from the elements (eV per atom) = -0.12
- distance to the lowest polymorph of the same formula (meV per atom) = 0
- density of states at the Fermi level (states/eV per cell) = 8.00

This record from Alexandria via LeMat-Bulk describes crystalline HfSe at its relaxed geometry. The functional is PBE.

```
data_HfSe
_chemical_formula_sum 'Hf6 Se6'
_space_group_name_H-M_alt 'P m -3 n'
_space_group_IT_number 223
_space_group_name_Hall '-P 4n 2 3'
_cell_length_a 7.321
_cell_length_b 7.321
_cell_length_c 7.321
_cell_angle_alpha 90.00
_cell_angle_beta 90.00
_cell_angle_gamma 90.00
loop_
_atom_site_label
_atom_site_type_symbol
_atom_site_fract_x
_atom_site_fract_y
_atom_site_fract_z
Hf1 Hf 0.000 0.250 0.500
Se1 Se 0.000 0.500 0.250
```

Computed properties:
- ΔE_f (raw) (eV per atom) = -0.17
- density of states at the Fermi level (states/eV per cell) = 20.65